Entry 1:
MoP2Pb after structural relaxation, computed with PBE.

abc: 3.145 3.145 7.356
angles: 90.00 90.00 90.00
Fractional positions:
Mo 0.000 0.000 0.000
P 0.500 0.500 0.180
P 0.500 0.500 0.820
Pb 0.000 0.000 0.500

Summary:
The formation energy comes out at -0.09 eV/atom. Its space group is No. 123.

***

Entry 2:
MoP2Pb after structural relaxation, computed with PBE.

abc: 4.474 4.474 6.433
angles: 104.55 104.55 43.02
Fractional positions:
Mo 0.000 0.000 0.000
P 0.560 0.560 0.281
P 0.703 0.703 0.965
Pb 0.372 0.372 0.582

Summary:
The formation energy comes out at -0.03 eV/atom. Its space group is No. 8.

***

Entry 3:
Mo2PPb after structural relaxation, computed with PBE.

abc: 4.562 4.562 4.562
angles: 60.00 60.00 60.00
Fractional positions:
Mo 0.250 0.250 0.250
Mo 0.750 0.750 0.750
P 0.000 0.000 0.000
Pb 0.500 0.500 0.500

Summary:
The formation energy comes out at 0.55 eV/atom. Its space group is No. 225.

***

Entry 4:
MoP5Pb2 after structural relaxation, computed with PBE.

abc: 8.571 8.571 9.423
angles: 113.81 113.81 36.99
Fractional positions:
Mo 0.198 0.198 0.224
Mo 0.802 0.802 0.776
P 0.131 0.131 0.389
P 0.157 0.553 0.979
P 0.303 0.697 0.500
P 0.342 0.342 0.428
P 0.447 0.843 0.021
P 0.553 0.157 0.979
P 0.658 0.658 0.572
P 0.697 0.303 0.500
P 0.843 0.447 0.021
P 0.869 0.869 0.611
Pb 0.163 0.163 0.744
Pb 0.448 0.448 0.768
Pb 0.552 0.552 0.232
Pb 0.837 0.837 0.256

Summary:
The formation energy comes out at 0.31 eV/atom. Its space group is No. 12.